Computed, not measured: a relaxed Li6Cu2Au crystal at the PBE level of DFT.

abc: 6.8066 7.5718 5.0827
angles: 90.00 98.96 90.00
Closest atoms and distances in Å follow each position.
Space group C2/m (No. 12)
Unique sites:
Li  0.0000  0.1664  0.0000  5 Li 2.52-2.61, 2 Cu 2.81
Li  0.1667  0.3334  0.6665  5 Li 2.52-2.61, 2 Cu 2.81
Cu  0.1586  0.5000  0.1586  1 Cu 2.49, 1 Au 2.67
Au  0.0000  0.0000  0.5000  2 Cu 2.67, 12 Li 2.84

## Properties
As for the mass density: 4.69 g/cm3. The energy of formation from the pure elements comes out at -168 meV/atom. The size of the total moment comes out at 0.00 μB/cell. The total energy is -2.718 eV/atom.

=====

Computed, not measured: a relaxed K3FeW crystal at the PBE level of DFT.

abc: 6.1765 6.1765 6.1765
angles: 90.00 90.00 90.00
Closest atoms and distances in Å follow each position.
Space group Pm-3m (No. 221)
Unique sites:
K  0.0000  0.0000  0.5000  2 Fe 3.09
Fe  0.0000  0.0000  0.0000  6 K 3.09
W  0.5000  0.5000  0.5000  12 K 4.37

## Properties
As for the mass density: 2.52 g/cm3. The energy of formation from the pure elements comes out at 2014 meV/atom. The size of the total moment comes out at 2.91 μB/cell. The total energy is -2.927 eV/atom.

=====

Computed, not measured: a relaxed Tb2ErRh crystal at the PBE level of DFT.

abc: 3.8056 3.8056 27.4104
angles: 90.00 90.00 120.00
Closest atoms and distances in Å follow each position.
Space group R3m (No. 160, hexagonal axes)
Unique sites:
Tb  0.0000  0.0000  0.0000  3 Rh 2.76
Tb  0.0000  0.0000  0.2115  3 Rh 2.76
Er  0.0000  0.0000  0.4403  6 Tb 3.61-3.66, 6 Er 3.81
Rh  0.0000  0.0000  0.6055  6 Tb 2.76

## Properties
As for the mass density: 8.52 g/cm3. The energy of formation from the pure elements comes out at -319 meV/atom. The size of the total moment comes out at 1.57 μB/cell. The total energy is -5.612 eV/atom.

=====

Computed, not measured: a relaxed NaSc2InHg crystal at the PBE level of DFT.

abc: 5.3532 5.3532 5.2939
angles: 90.00 90.00 90.00
Closest atoms and distances in Å follow each position.
Space group P4/mmm (No. 123)
Unique sites:
Na  0.0000  0.0000  0.0000  2 Hg 2.65
Sc  0.0000  0.5000  0.5000  2 Hg 2.68
In  0.5000  0.5000  0.0000  8 Sc 3.76, 4 Na 3.79
Hg  0.0000  0.0000  0.5000  2 Na 2.65, 4 Sc 2.68

## Properties
As for the mass density: 4.69 g/cm3. The energy of formation from the pure elements comes out at 303 meV/atom. The size of the total moment comes out at 0.00 μB/cell. The total energy is -3.102 eV/atom.

=====

Computed, not measured: a relaxed RbCu2Te3 crystal at the PBE level of DFT.

abc: 7.6831 13.4835 7.1749
angles: 90.00 90.00 90.00
Closest atoms and distances in Å follow each position.
Space group Cmcm (No. 63)
Unique sites:
Rb  0.0000  0.1627  0.2500  4 Cu 3.81, 10 Te 3.88-3.97
Cu  0.1694  0.5000  0.0000  4 Te 2.60-2.66, 1 Cu 2.60
Te  0.0000  0.3912  0.7500  4 Cu 2.66
Te  0.1852  0.1122  0.7500  2 Cu 2.60, 1 Te 2.85

## Properties
As for the mass density: 5.32 g/cm3. The size of the total moment comes out at 0.00 μB/cell. The total energy is -3.413 eV/atom. The energy relative to the elements, uncorrected comes out at -316 meV per atom.

=====

Computed, not measured: a relaxed LaHo4Sc2 crystal at the PBE level of DFT.

abc: 6.9727 7.7739 9.1918
angles: 104.77 111.82 102.77
Closest atoms and distances in Å follow each position.
Space group P1 (No. 1)
Unique sites:
La  0.0000  0.0000  0.0000  4 Sc 3.46-3.53, 8 Ho 3.46-3.56
La  0.2138  0.7123  0.5703  7 Ho 3.44-3.56, 5 Sc 3.44-3.49
Ho  0.0698  0.5596  0.8614  4 Sc 3.41-3.56, 6 Ho 3.45-3.57, 2 La 3.54-3.56
Ho  0.2847  0.2776  0.4315  4 Sc 3.43-3.53, 6 Ho 3.47-3.50, 2 La 3.50-3.51
Ho  0.4312  0.4311  0.1499  5 Sc 3.40-3.54, 6 Ho 3.43-3.49, 1 La 3.50
Ho  0.5027  0.0004  0.0085  6 Ho 3.43-3.57, 3 Sc 3.44-3.54, 3 La 3.48-3.56
Ho  0.5688  0.5609  0.8573  3 Sc 3.45-3.51, 7 Ho 3.45-3.54, 2 La 3.53-3.56
Ho  0.6428  0.1365  0.7144  5 Sc 3.44-3.51, 5 Ho 3.45-3.51, 2 La 3.46-3.47
Ho  0.7839  0.2824  0.4304  7 Ho 3.43-3.50, 4 Sc 3.47-3.51, 1 La 3.51
Ho  0.8551  0.8498  0.2904  5 Sc 3.41-3.51, 5 Ho 3.43-3.53, 2 La 3.44-3.55
Sc  0.1408  0.1415  0.7149  9 Ho 3.41-3.54, 2 La 3.46-3.49, 1 Sc 3.49
Sc  0.3574  0.8499  0.2868  8 Ho 3.40-3.51, 2 La 3.44-3.53, 2 Sc 3.45-3.46
Sc  0.7128  0.7118  0.5707  7 Ho 3.41-3.56, 2 Sc 3.45-3.49, 3 La 3.48-3.50
Sc  0.9291  0.4278  0.1453  9 Ho 3.41-3.53, 1 Sc 3.46, 2 La 3.46-3.47

## Properties
As for the mass density: 7.05 g/cm3. The energy of formation from the pure elements comes out at 56 meV/atom. The size of the total moment comes out at 0.00 μB/cell. The total energy is -5.073 eV/atom.

=====

Computed, not measured: a relaxed CrHIrRh2 crystal at the PBE level of DFT.

abc: 3.8380 3.8380 3.9140
angles: 90.00 90.00 90.00
Closest atoms and distances in Å follow each position.
Space group P4/mmm (No. 123)
Unique sites:
Cr  0.0000  0.0000  0.0000  2 H 1.96
H  0.0000  0.0000  0.5000  4 Rh 1.92, 2 Cr 1.96
Ir  0.5000  0.5000  0.0000  4 Cr 2.71, 8 Rh 2.74
Rh  0.0000  0.5000  0.5000  2 H 1.92

## Properties
As for the mass density: 12.99 g/cm3. The size of the total moment comes out at 1.84 μB/cell. The total energy is -7.394 eV/atom.

=====

Computed, not measured: a relaxed InSiAg crystal at the PBE level of DFT.

abc: 3.7153 6.2255 6.4300
angles: 115.82 106.40 90.41
Closest atoms and distances in Å follow each position.
Space group P1 (No. 1)
Unique sites:
In  0.0000  0.0000  0.0000  1 Si 2.75, 4 Ag 2.88-2.96
In  0.2246  0.8631  0.4557  3 Ag 2.89-3.09, 2 Si 2.96-2.98
Si  0.5733  0.4691  0.1492  2 Si 2.39-2.40, 1 Ag 2.63
Si  0.9373  0.3705  0.8748  2 Si 2.39-2.40, 1 Ag 2.57
Ag  0.3736  0.6111  0.7491  3 Si 2.70-2.98, 3 In 2.88-2.89, 2 Ag 2.95-2.96
Ag  0.7052  0.2380  0.4149  2 Si 2.57-2.63

## Properties
As for the mass density: 6.56 g/cm3. The size of the total moment comes out at 0.00 μB/cell. The total energy is -3.489 eV/atom. The energy relative to the elements, uncorrected comes out at 182 meV per atom.

=====

Please write out number 6 again, unchanged.
Computed, not measured: a relaxed LaHo4Sc2 crystal at the PBE level of DFT.

abc: 6.9727 7.7739 9.1918
angles: 104.77 111.82 102.77
Closest atoms and distances in Å follow each position.
Space group P1 (No. 1)
Unique sites:
La  0.0000  0.0000  0.0000  4 Sc 3.46-3.53, 8 Ho 3.46-3.56
La  0.2138  0.7123  0.5703  7 Ho 3.44-3.56, 5 Sc 3.44-3.49
Ho  0.0698  0.5596  0.8614  4 Sc 3.41-3.56, 6 Ho 3.45-3.57, 2 La 3.54-3.56
Ho  0.2847  0.2776  0.4315  4 Sc 3.43-3.53, 6 Ho 3.47-3.50, 2 La 3.50-3.51
Ho  0.4312  0.4311  0.1499  5 Sc 3.40-3.54, 6 Ho 3.43-3.49, 1 La 3.50
Ho  0.5027  0.0004  0.0085  6 Ho 3.43-3.57, 3 Sc 3.44-3.54, 3 La 3.48-3.56
Ho  0.5688  0.5609  0.8573  3 Sc 3.45-3.51, 7 Ho 3.45-3.54, 2 La 3.53-3.56
Ho  0.6428  0.1365  0.7144  5 Sc 3.44-3.51, 5 Ho 3.45-3.51, 2 La 3.46-3.47
Ho  0.7839  0.2824  0.4304  7 Ho 3.43-3.50, 4 Sc 3.47-3.51, 1 La 3.51
Ho  0.8551  0.8498  0.2904  5 Sc 3.41-3.51, 5 Ho 3.43-3.53, 2 La 3.44-3.55
Sc  0.1408  0.1415  0.7149  9 Ho 3.41-3.54, 2 La 3.46-3.49, 1 Sc 3.49
Sc  0.3574  0.8499  0.2868  8 Ho 3.40-3.51, 2 La 3.44-3.53, 2 Sc 3.45-3.46
Sc  0.7128  0.7118  0.5707  7 Ho 3.41-3.56, 2 Sc 3.45-3.49, 3 La 3.48-3.50
Sc  0.9291  0.4278  0.1453  9 Ho 3.41-3.53, 1 Sc 3.46, 2 La 3.46-3.47

## Properties
As for the mass density: 7.05 g/cm3. The energy of formation from the pure elements comes out at 56 meV/atom. The size of the total moment comes out at 0.00 μB/cell. The total energy is -5.073 eV/atom.